BeMo3 after structural relaxation. Source: Alexandria, functional GGA-PBE.

```
4
Lattice="2.660 0.000 0.000 0.000 4.342 0.000 -0.944 0.000 5.057" Properties=species:S:1:pos:R:3 pbc="T T T"
Be 0.000 0.000 0.000
Mo -0.034 2.171 3.824
Mo 0.858 0.000 2.528
Mo 1.750 2.171 1.232
```

Values from the calculation:
Formation energy from the elements   0.15 eV per atom
Energy above the most stable polymorph in this dataset   162 meV per atom